# 1
Here is crystalline Ba3ReN4 at its relaxed geometry from the Alexandria database. Energies are from PBE-GGA.

Calculated values
SG   Pmn2_1
E   -7.0949 eV/atom
Crystal system   orthorhombic

a b c (Å): 8.1946 7.5308 6.0565
angles (deg): 90.00 90.00 90.00
Positions (direct):
Ba  0.0000  0.1255  0.0000
Ba  0.2424  0.3443  0.5069
Ba  0.2576  0.6557  0.0069
Ba  0.5000  0.8745  0.5000
Ba  0.7424  0.6557  0.0069
Ba  0.7576  0.3443  0.5069
Re  0.0000  0.8302  0.4663
Re  0.5000  0.1698  0.9663
N  0.0000  0.0732  0.5236
N  0.0000  0.8098  0.1629
N  0.1877  0.7190  0.5647
N  0.3123  0.2810  0.0647
N  0.5000  0.1902  0.6629
N  0.5000  0.9268  0.0236
N  0.6877  0.2810  0.0647
N  0.8123  0.7190  0.5647



# 2
Here is crystalline La2CdAgPt at its relaxed geometry from the Alexandria database. Energies are from PBE-GGA.

Calculated values
SG   P2_1/m
Calculated formation energy   -599.6 meV per atom
Crystal system   monoclinic

a b c (Å): 7.7793 4.6424 7.8392
angles (deg): 90.00 108.92 90.00
Positions (direct):
La  0.0376  0.2500  0.2112
La  0.3391  0.7500  0.6247
La  0.6609  0.2500  0.3753
La  0.9624  0.7500  0.7888
Cd  0.3438  0.7500  0.1781
Cd  0.6562  0.2500  0.8219
Ag  0.3388  0.2500  0.9564
Ag  0.6612  0.7500  0.0436
Pt  0.0822  0.2500  0.6073
Pt  0.9178  0.7500  0.3927



# 3
Here is crystalline RbTiS2 at its relaxed geometry from the Alexandria database. Energies are from PBE-GGA.

Calculated values
SG   I4/mcm
E   -5.5295 eV/atom
Crystal system   tetragonal

a b c (Å): 6.6119 6.6119 6.6119
angles (deg): 103.78 103.78 121.57
Positions (direct):
Rb  0.2500  0.2500  0.0000
Rb  0.7500  0.7500  0.0000
Ti  0.2500  0.7500  0.5000
Ti  0.7500  0.2500  0.5000
S  0.1500  0.6500  0.8000
S  0.3500  0.1500  0.5000
S  0.6500  0.8500  0.5000
S  0.8500  0.3500  0.2000